[1]
Crystalline AcHo2Tm2 at its relaxed geometry, computed with GGA-PBE.

abc: 8.4833 8.4833 11.5118
angles: 90.00 90.00 155.34
Positions (direct):
Ac  0.1015  0.8985  0.5000
Ac  0.8985  0.1015  0.0000
Ho  0.2499  0.7501  0.7903
Ho  0.4420  0.5580  0.6883
Ho  0.5580  0.4420  0.1883
Ho  0.7501  0.2499  0.2903
Tm  0.2053  0.7947  0.0588
Tm  0.4157  0.5843  0.3889
Tm  0.5843  0.4157  0.8889
Tm  0.7947  0.2053  0.5588

Computed properties:
Energy of formation = 15 kJ per mole of atoms


[2]
Crystalline Ba2BAu2 at its relaxed geometry, computed with GGA-PBE.

abc: 8.6420 8.6420 4.4401
angles: 90.00 90.00 90.00
Positions (direct):
Ba  0.1822  0.3178  0.0000
Ba  0.3178  0.8178  0.0000
Ba  0.6822  0.1822  0.0000
Ba  0.8178  0.6822  0.0000
B  0.0000  0.0000  0.0000
B  0.5000  0.5000  0.0000
Au  0.1168  0.6168  0.5000
Au  0.3832  0.1168  0.5000
Au  0.6168  0.8832  0.5000
Au  0.8832  0.3832  0.5000

Computed properties:
Energy of formation = 25 kJ per mole of atoms
Distance to the lowest polymorph of the same formula = 119 meV/atom


[3]
Crystalline InSiNi2 at its relaxed geometry, computed with GGA-PBE.

abc: 2.9006 2.9006 6.4102
angles: 90.00 90.00 90.00
Positions (direct):
In  0.0000  0.0000  0.0000
Si  0.0000  0.0000  0.5000
Ni  0.5000  0.5000  0.3029
Ni  0.5000  0.5000  0.6971

Computed properties:
ΔE_f (raw) = -258 meV/atom


[4]
Crystalline Li2TaAs at its relaxed geometry, computed with GGA-PBE.

abc: 4.8643 4.8643 4.8643
angles: 133.35 133.35 68.11
Positions (direct):
Li  0.0000  0.0000  0.0000
Li  0.7500  0.2500  0.5000
Ta  0.5000  0.5000  0.0000
As  0.2500  0.7500  0.5000

Computed properties:
Energy of formation = 4 kJ per mole of atoms


[5]
Crystalline Zr5CdPb3 at its relaxed geometry, computed with GGA-PBE.

abc: 8.9128 8.9128 6.0299
angles: 90.00 90.00 120.00
Positions (direct):
Zr  0.0000  0.2816  0.2500
Zr  0.0000  0.7184  0.7500
Zr  0.2816  0.0000  0.2500
Zr  0.2816  0.2816  0.7500
Zr  0.3333  0.6667  0.0000
Zr  0.3333  0.6667  0.5000
Zr  0.6667  0.3333  0.0000
Zr  0.6667  0.3333  0.5000
Zr  0.7184  0.0000  0.7500
Zr  0.7184  0.7184  0.2500
Cd  0.0000  0.0000  0.0000
Cd  0.0000  0.0000  0.5000
Pb  0.0000  0.3783  0.7500
Pb  0.0000  0.6217  0.2500
Pb  0.3783  0.0000  0.7500
Pb  0.3783  0.3783  0.2500
Pb  0.6217  0.0000  0.2500
Pb  0.6217  0.6217  0.7500

Computed properties:
Energy of formation = -24 kJ per mole of atoms


[6]
Crystalline Pm2SiNiPt6 at its relaxed geometry, computed with GGA-PBE.

abc: 6.4378 6.4378 8.2159
angles: 127.39 127.39 50.22
Positions (direct):
Pm  0.2332  0.2332  0.2005
Pm  0.7668  0.7668  0.7995
Si  0.0000  0.0000  0.5000
Ni  0.5000  0.5000  0.0000
Pt  0.2455  0.7382  0.2519
Pt  0.2505  0.2505  0.6084
Pt  0.2618  0.7545  0.7481
Pt  0.7382  0.2455  0.2519
Pt  0.7495  0.7495  0.3916
Pt  0.7545  0.2618  0.7481

Computed properties:
ΔE_f (raw) = -800 meV/atom


[7]
Crystalline SrCrCo3 at its relaxed geometry, computed with GGA-PBE.

abc: 4.6778 4.6778 4.6778
angles: 90.00 90.00 90.00
Positions (direct):
Sr  0.0000  0.0000  0.0000
Cr  0.5000  0.5000  0.5000
Co  0.0000  0.0000  0.5000
Co  0.0000  0.5000  0.0000
Co  0.5000  0.0000  0.0000

Computed properties:
Energy of formation = 221 kJ per mole of atoms
Distance to the lowest polymorph of the same formula = 1560 meV/atom


[8]
Crystalline Ca2Si2Os at its relaxed geometry, computed with GGA-PBE.

abc: 6.5131 6.5131 4.6231
angles: 90.00 90.00 90.00
Positions (direct):
Ca  0.1794  0.3206  0.0000
Ca  0.3206  0.8206  0.0000
Ca  0.6794  0.1794  0.0000
Ca  0.8206  0.6794  0.0000
Si  0.1353  0.6353  0.5000
Si  0.3647  0.1353  0.5000
Si  0.6353  0.8647  0.5000
Si  0.8647  0.3647  0.5000
Os  0.0000  0.0000  0.5000
Os  0.5000  0.5000  0.5000

Computed properties:
ΔE_f (raw) = -347 meV/atom


[9]
Crystalline Na2SrI at its relaxed geometry, computed with GGA-PBE.

abc: 11.0937 11.0937 11.0937
angles: 22.59 22.59 22.59
Positions (direct):
Na  0.0000  0.0000  0.0000
Na  0.2090  0.2090  0.2090
Sr  0.4383  0.4383  0.4383
I  0.6041  0.6041  0.6041

Computed properties:
ΔE_f (raw) = -495 meV/atom
Distance to the lowest polymorph of the same formula = 0 meV/atom


[10]
Crystalline YTiNi2 at its relaxed geometry, computed with GGA-PBE.

abc: 4.5380 4.5380 4.5380
angles: 60.00 60.00 60.00
Positions (direct):
Y  0.0000  0.0000  0.0000
Ti  0.5000  0.5000  0.5000
Ni  0.2500  0.2500  0.2500
Ni  0.7500  0.7500  0.7500

Computed properties:
Energy of formation = -21 kJ per mole of atoms
Distance to the lowest polymorph of the same formula = 130 meV/atom


[11]
Crystalline Y12Ga3O5 at its relaxed geometry, computed with GGA-PBE.

abc: 13.2796 13.2796 13.2796
angles: 109.47 109.47 109.47
Positions (direct):
Y  0.0168  0.2030  0.1134
Y  0.0168  0.3137  0.9033
Y  0.0896  0.7030  0.6863
Y  0.0896  0.8866  0.4033
Y  0.0967  0.6134  0.4104
Y  0.0967  0.9832  0.6863
Y  0.1134  0.0168  0.2030
Y  0.1134  0.5967  0.9104
Y  0.1863  0.2030  0.5896
Y  0.1863  0.4832  0.5967
Y  0.2030  0.1134  0.0168
Y  0.2030  0.5896  0.1863
Y  0.2970  0.3137  0.9104
Y  0.2970  0.4832  0.3866
Y  0.3137  0.9033  0.0168
Y  0.3137  0.9104  0.2970
Y  0.3866  0.2970  0.4832
Y  0.3866  0.5896  0.9033
Y  0.4033  0.0896  0.8866
Y  0.4033  0.8137  0.5168
Y  0.4104  0.0967  0.6134
Y  0.4104  0.8137  0.7970
Y  0.4832  0.3866  0.2970
Y  0.4832  0.5967  0.1863
Y  0.5168  0.4033  0.8137
Y  0.5168  0.6134  0.7030
Y  0.5896  0.1863  0.2030
Y  0.5896  0.9033  0.3866
Y  0.5967  0.1863  0.4832
Y  0.5967  0.9104  0.1134
Y  0.6134  0.4104  0.0967
Y  0.6134  0.7030  0.5168
Y  0.6863  0.0896  0.7030
Y  0.6863  0.0967  0.9832
Y  0.7030  0.5168  0.6134
Y  0.7030  0.6863  0.0896
Y  0.7970  0.4104  0.8137
Y  0.7970  0.8866  0.9832
Y  0.8137  0.5168  0.4033
Y  0.8137  0.7970  0.4104
Y  0.8866  0.4033  0.0896
Y  0.8866  0.9832  0.7970
Y  0.9033  0.0168  0.3137
Y  0.9033  0.3866  0.5896
Y  0.9104  0.1134  0.5967
Y  0.9104  0.2970  0.3137
Y  0.9832  0.6863  0.0967
Y  0.9832  0.7970  0.8866
Ga  0.1250  0.2500  0.3750
Ga  0.1250  0.3750  0.7500
Ga  0.2500  0.3750  0.1250
Ga  0.2500  0.8750  0.6250
Ga  0.3750  0.1250  0.2500
Ga  0.3750  0.7500  0.1250
Ga  0.6250  0.2500  0.8750
Ga  0.6250  0.8750  0.7500
Ga  0.7500  0.1250  0.3750
Ga  0.7500  0.6250  0.8750
Ga  0.8750  0.6250  0.2500
Ga  0.8750  0.7500  0.6250
O  0.0000  0.0000  0.0000
O  0.0000  0.0000  0.5000
O  0.0000  0.5000  0.0000
O  0.0000  0.5000  0.5000
O  0.1250  0.7500  0.8750
O  0.1250  0.8750  0.2500
O  0.2500  0.1250  0.8750
O  0.2500  0.6250  0.3750
O  0.3750  0.2500  0.6250
O  0.3750  0.6250  0.7500
O  0.5000  0.0000  0.0000
O  0.5000  0.0000  0.5000
O  0.5000  0.5000  0.0000
O  0.5000  0.5000  0.5000
O  0.6250  0.3750  0.2500
O  0.6250  0.7500  0.3750
O  0.7500  0.3750  0.6250
O  0.7500  0.8750  0.1250
O  0.8750  0.1250  0.7500
O  0.8750  0.2500  0.1250

Computed properties:
ΔE_f (raw) = -1601 meV/atom


[12]
Crystalline Na12Bi7Au at its relaxed geometry, computed with GGA-PBE.

abc: 9.0089 9.0089 9.0089
angles: 106.12 106.12 106.12
Positions (direct):
Na  0.0742  0.3617  0.2723
Na  0.2123  0.3757  0.6661
Na  0.2723  0.0742  0.3617
Na  0.3339  0.7877  0.6243
Na  0.3617  0.2723  0.0742
Na  0.3757  0.6661  0.2123
Na  0.6243  0.3339  0.7877
Na  0.6383  0.7277  0.9258
Na  0.6661  0.2123  0.3757
Na  0.7277  0.9258  0.6383
Na  0.7877  0.6243  0.3339
Na  0.9258  0.6383  0.7277
Bi  0.0004  0.3146  0.8910
Bi  0.9996  0.6854  0.1090
Bi  0.1090  0.9996  0.6854
Bi  0.3146  0.8910  0.0004
Bi  0.5000  0.5000  0.5000
Bi  0.6854  0.1090  0.9996
Bi  0.8910  0.0004  0.3146
Au  0.0000  0.0000  0.0000

Computed properties:
Energy of formation = -22 kJ per mole of atoms


[13]
Crystalline Ca2ReMo at its relaxed geometry, computed with GGA-PBE.

abc: 10.5609 10.5609 10.5609
angles: 16.24 16.24 16.24
Positions (direct):
Ca  0.2489  0.2489  0.2489
Ca  0.7511  0.7511  0.7511
Re  0.5000  0.5000  0.5000
Mo  0.0000  0.0000  0.0000

Computed properties:
Energy of formation = 96 kJ per mole of atoms
Distance to the lowest polymorph of the same formula = 669 meV/atom


[14]
Crystalline CaPmSnAu at its relaxed geometry, computed with GGA-PBE.

abc: 5.3237 5.3237 5.3237
angles: 60.00 60.00 60.00
Positions (direct):
Ca  0.0000  0.0000  0.0000
Pm  0.5000  0.5000  0.5000
Sn  0.2500  0.2500  0.2500
Au  0.7500  0.7500  0.7500

Computed properties:
Energy of formation = -73 kJ per mole of atoms


[15]
Crystalline Nd8Ru3PtI4 at its relaxed geometry, computed with GGA-PBE.

abc: 9.4916 9.4916 9.4916
angles: 52.24 52.24 52.24
Positions (direct):
Nd  0.2174  0.7339  0.7339
Nd  0.2293  0.2293  0.2293
Nd  0.2661  0.2661  0.7826
Nd  0.2661  0.7826  0.2661
Nd  0.7339  0.2174  0.7339
Nd  0.7339  0.7339  0.2174
Nd  0.7707  0.7707  0.7707
Nd  0.7826  0.2661  0.2661
Ru  0.0000  0.0000  0.5000
Ru  0.0000  0.5000  0.0000
Ru  0.5000  0.0000  0.0000
Pt  0.5000  0.5000  0.5000
I  0.0000  0.0000  0.0000
I  0.0000  0.5000  0.5000
I  0.5000  0.0000  0.5000
I  0.5000  0.5000  0.0000

Computed properties:
ΔE_f (raw) = -768 meV/atom


[16]
Crystalline Zr3GaCo at its relaxed geometry, computed with GGA-PBE.

abc: 6.8332 6.8332 5.0600
angles: 90.00 90.00 120.00
Positions (direct):
Zr  0.1809  0.3619  0.2500
Zr  0.1809  0.8191  0.2500
Zr  0.3619  0.1809  0.7500
Zr  0.6381  0.8191  0.2500
Zr  0.8191  0.1809  0.7500
Zr  0.8191  0.6381  0.7500
Ga  0.3333  0.6667  0.7500
Ga  0.6667  0.3333  0.2500
Co  0.0000  0.0000  0.0000
Co  0.0000  0.0000  0.5000

Computed properties:
Energy of formation = -13 kJ per mole of atoms
Distance to the lowest polymorph of the same formula = 190 meV/atom


[17]
Crystalline RbNaCaThSi8O20 at its relaxed geometry, computed with GGA-PBE.

abc: 7.6691 7.6691 14.9089
angles: 90.00 90.00 90.00
Positions (direct):
Rb  0.0000  0.0000  0.0000
Rb  0.0000  0.0000  0.5000
Na  0.0000  0.5000  0.2500
Na  0.5000  0.0000  0.7500
Ca  0.0000  0.5000  0.7500
Ca  0.5000  0.0000  0.2500
Th  0.0000  0.0000  0.2500
Th  0.0000  0.0000  0.7500
Si  0.2585  0.3341  0.3921
Si  0.2585  0.6659  0.1079
Si  0.2650  0.3378  0.6096
Si  0.2650  0.6622  0.8904
Si  0.3341  0.2585  0.8921
Si  0.3341  0.7415  0.6079
Si  0.3378  0.2650  0.1096
Si  0.3378  0.7350  0.3904
Si  0.6622  0.2650  0.3904
Si  0.6622  0.7350  0.1096
Si  0.6659  0.2585  0.6079
Si  0.6659  0.7415  0.8921
Si  0.7350  0.3378  0.8904
Si  0.7350  0.6622  0.6096
Si  0.7415  0.3341  0.1079
Si  0.7415  0.6659  0.3921
O  0.1033  0.2374  0.3412
O  0.1033  0.7626  0.1588
O  0.1092  0.2539  0.6668
O  0.1092  0.7461  0.8332
O  0.2374  0.1033  0.8412
O  0.2374  0.8967  0.6588
O  0.2378  0.3147  0.5013
O  0.2378  0.6853  0.9987
O  0.2539  0.1092  0.1668
O  0.2539  0.8908  0.3332
O  0.2550  0.4520  0.8639
O  0.2550  0.5480  0.6361
O  0.2588  0.4575  0.1353
O  0.2588  0.5425  0.3647
O  0.3147  0.2378  0.0013
O  0.3147  0.7622  0.4987
O  0.4520  0.2550  0.3639
O  0.4520  0.7450  0.1361
O  0.4575  0.2588  0.6353
O  0.4575  0.7412  0.8647
O  0.5425  0.2588  0.8647
O  0.5425  0.7412  0.6353
O  0.5480  0.2550  0.1361
O  0.5480  0.7450  0.3639
O  0.6853  0.2378  0.4987
O  0.6853  0.7622  0.0013
O  0.7412  0.4575  0.3647
O  0.7412  0.5425  0.1353
O  0.7450  0.4520  0.6361
O  0.7450  0.5480  0.8639
O  0.7461  0.1092  0.3332
O  0.7461  0.8908  0.1668
O  0.7622  0.3147  0.9987
O  0.7622  0.6853  0.5013
O  0.7626  0.1033  0.6588
O  0.7626  0.8967  0.8412
O  0.8908  0.2539  0.8332
O  0.8908  0.7461  0.6668
O  0.8967  0.2374  0.1588
O  0.8967  0.7626  0.3412

Computed properties:
ΔE_f (raw) = -2875 meV/atom


| no. | energy (Ry per atom) | total magnetization (μB per formula unit) |
| --- | --- | --- |
| 1 | -0.3149 | 0.0 |
| 2 | -0.2322 | 0.7 |
| 3 | -0.3814 | 0.0 |
| 4 | -0.3702 | 1.6 |
| 5 | -0.4658 | 0.0 |
| 6 | -0.4773 | 0.0 |
| 7 | -0.3112 | 8.3 |
| 8 | -0.4089 | 0.0 |
| 9 | -0.1442 | 0.0 |
| 10 | -0.4922 | 0.0 |
| 11 | -0.5272 | 0.0 |
| 12 | -0.1865 | 0.0 |
| 13 | -0.4284 | 0.0 |
| 14 | -0.3135 | 0.0 |
| 15 | -0.4157 | 0.0 |
| 16 | -0.5357 | 0.0 |
| 17 | -0.5656 | 0.0 |